(1)
Material: NaSrB3
Method: DFT, meta-GGA SCAN
State: single point on PBEsol structure

Values from the calculation:
Total magnetization ... 0.0 Bohr magnetons per cell
Density ... 2.61 g/cm3
DFT total energy ... -7.7477 eV/atom
E_form ... 2.01 eV/atom

```
NaSrB3
1.0
-0.028 -4.499 -0.088
3.306 0.039 -3.052
3.052 -0.083 3.305
Sr B Na
1 3 1
Direct
0.500 0.500 0.500
0.000 0.500 0.000
0.000 0.000 0.500
0.500 0.000 0.000
0.000 0.000 0.000
```

---

(2)
Material: NaSrYB2
Method: DFT, meta-GGA SCAN
State: single point on PBEsol structure

Values from the calculation:
Total magnetization ... 1.0 Bohr magnetons per cell
Density ... 2.72 g/cm3
DFT total energy ... -11.7412 eV/atom
E_form ... 2.10 eV/atom

```
NaSrYB2
1.0
-1.114 0.577 4.807
-4.826 -0.522 -1.055
0.421 -5.399 0.745
Y Sr B Na
1 1 2 1
Direct
0.000 0.000 0.500
0.000 0.000 0.000
0.000 0.500 0.000
0.500 0.000 0.000
0.500 0.500 0.500
```

---

(3)
Material: NaB3Te
Method: DFT, meta-GGA SCAN
State: single point on PBEsol structure

Values from the calculation:
Total magnetization ... 0.0 Bohr magnetons per cell
Density ... 3.41 g/cm3
DFT total energy ... -10.0878 eV/atom
Formation energy without anion corrections ... 2.663 eV/atom

```
NaB3Te
1.0
-2.323 -3.710 0.893
3.696 -2.447 -0.553
0.949 0.451 4.342
Na B Te
1 3 1
Direct
0.000 0.000 0.000
0.000 0.500 0.000
0.000 0.000 0.500
0.500 0.000 0.000
0.500 0.500 0.500
```

---

(4)
Material: NaTiB3
Method: DFT, meta-GGA SCAN
State: single point on PBEsol structure

Values from the calculation:
Total magnetization ... 0.0 Bohr magnetons per cell
Density ... 2.72 g/cm3
DFT total energy ... -6.1018 eV/atom
E_form ... 2.40 eV/atom

```
NaTiB3
1.0
-0.133 -2.905 -2.719
3.135 -1.751 1.719
-2.450 -2.083 2.346
Na B Ti
1 3 1
Direct
0.000 0.000 0.000
0.000 0.500 0.000
0.000 0.000 0.500
0.500 0.000 0.000
0.500 0.500 0.500
```

---

(5)
Material: Na2YB
Method: DFT, meta-GGA SCAN
State: single point on PBEsol structure

Values from the calculation:
Total magnetization ... 0.0 Bohr magnetons per cell
Density ... 2.78 g/cm3
DFT total energy ... -10.3266 eV/atom
E_form ... 0.60 eV/atom

```
Na2YB
1.0
3.874 0.000 0.000
0.000 3.874 0.000
-1.937 -1.937 11.596
Y Na B
2 4 2
Direct
0.250 0.750 0.500
0.000 0.000 0.000
0.408 0.875 0.250
0.842 0.375 0.250
0.125 0.158 0.750
0.625 0.592 0.750
0.750 0.250 0.500
0.500 0.500 0.000
```

---

(6)
Material: Nb3B4
Method: DFT, meta-GGA SCAN
State: single point on PBEsol structure

Values from the calculation:
Total magnetization ... 0.0 Bohr magnetons per cell
Density ... 7.35 g/cm3
DFT total energy ... -19.2176 eV/atom
E_form ... -0.77 eV/atom

```
Nb3B4
1.0
-0.299 -3.126 0.071
3.267 -0.317 -0.232
-0.975 1.832 7.101
Nb B
3 4
Direct
0.500 0.000 0.000
0.185 0.185 0.370
0.815 0.815 0.630
0.368 0.368 0.735
0.632 0.632 0.265
0.936 0.436 0.871
0.064 0.564 0.129
```

---

(7)
Material: Nb2B3
Method: DFT, meta-GGA SCAN
State: single point on PBEsol structure

Values from the calculation:
Total magnetization ... 0.0 Bohr magnetons per cell
Density ... 7.23 g/cm3
DFT total energy ... -18.4660 eV/atom
E_form ... -0.76 eV/atom

```
Nb2B3
1.0
3.127 0.000 0.000
0.000 3.293 0.000
0.000 1.646 9.742
Nb B
4 6
Direct
0.750 0.703 0.595
0.250 0.297 0.405
0.750 0.431 0.138
0.250 0.569 0.862
0.750 0.835 0.330
0.250 0.165 0.670
0.750 0.116 0.769
0.250 0.884 0.231
0.250 0.977 0.046
0.750 0.023 0.954
```

---

(8)
Material: NbB2
Method: DFT, meta-GGA SCAN
State: single point on PBEsol structure

Values from the calculation:
Total magnetization ... 0.0 Bohr magnetons per cell
Density ... 6.89 g/cm3
DFT total energy ... -16.6922 eV/atom
E_form ... -0.70 eV/atom

```
NbB2
1.0
-1.484 -1.521 -2.263
3.015 -0.532 0.509
-0.784 -2.404 2.130
Nb B
1 2
Direct
0.000 0.000 0.000
0.333 0.667 0.500
0.667 0.333 0.500
```

---

(9)
Material: Nb2Ni21B6
Method: DFT, meta-GGA SCAN
State: single point on PBEsol structure

Values from the calculation:
Total magnetization ... 0.0 Bohr magnetons per cell
Density ... 8.74 g/cm3
DFT total energy ... -15.8390 eV/atom
E_form ... -0.31 eV/atom

```
Nb2Ni21B6
1.0
7.358 0.000 0.000
3.679 6.372 0.000
3.679 2.124 6.008
Nb Ni B
2 21 6
Direct
0.250 0.250 0.250
0.750 0.750 0.750
0.659 0.000 0.000
0.341 0.000 0.000
0.000 0.659 0.341
0.000 0.341 0.659
0.659 0.000 0.341
0.000 0.341 0.000
0.341 0.000 0.659
0.000 0.659 0.000
0.659 0.341 0.000
0.341 0.659 0.000
0.000 0.000 0.341
0.000 0.000 0.659
0.847 0.384 0.384
0.153 0.616 0.616
0.384 0.847 0.384
0.384 0.384 0.847
0.616 0.153 0.616
0.616 0.616 0.153
0.384 0.384 0.384
0.616 0.616 0.616
0.000 0.000 0.000
0.733 0.267 0.267
0.267 0.733 0.733
0.733 0.267 0.733
0.267 0.733 0.267
0.733 0.733 0.267
0.267 0.267 0.733
```

---

(10)
Material: Nb2NiB2
Method: DFT, meta-GGA SCAN
State: single point on PBEsol structure

Values from the calculation:
Total magnetization ... 0.0 Bohr magnetons per cell
Density ... 7.92 g/cm3
DFT total energy ... -20.0424 eV/atom
E_form ... -0.58 eV/atom

```
Nb2NiB2
1.0
-1.646 0.568 -2.821
-2.954 -4.938 0.729
-4.077 2.876 2.958
Ni Nb B
2 4 4
Direct
0.000 0.000 0.000
0.000 0.500 0.500
0.500 0.182 0.682
0.500 0.682 0.818
0.500 0.818 0.318
0.500 0.318 0.182
0.000 0.391 0.891
0.000 0.891 0.609
0.000 0.609 0.109
0.000 0.109 0.391
```

---

(11)
Material: Nb2BO
Method: DFT, meta-GGA SCAN
State: single point on PBEsol structure

Values from the calculation:
Total magnetization ... 0.0 Bohr magnetons per cell
Density ... 6.19 g/cm3
DFT total energy ... -20.6633 eV/atom
Formation energy without anion corrections ... -0.683 eV/atom

```
Nb2BO
1.0
-0.029 4.768 -0.245
-4.220 0.089 2.231
4.464 -2.188 3.422
Nb B O
4 2 2
Direct
0.366 0.875 0.250
0.884 0.375 0.250
0.125 0.116 0.750
0.625 0.634 0.750
0.750 0.250 0.500
0.500 0.500 0.000
0.250 0.750 0.500
0.000 0.000 0.000
```

---

(12)
Material: Nb3BO
Method: DFT, meta-GGA SCAN
State: single point on PBEsol structure

Values from the calculation:
Total magnetization ... 0.0 Bohr magnetons per cell
Density ... 7.34 g/cm3
DFT total energy ... -22.8168 eV/atom
Formation energy without anion corrections ... -0.207 eV/atom

```
Nb3BO
1.0
-3.591 -1.986 0.110
0.831 -1.291 3.807
-1.807 3.353 1.531
Nb B O
3 1 1
Direct
0.000 0.500 0.000
0.000 0.000 0.500
0.500 0.000 0.000
0.500 0.500 0.500
0.000 0.000 0.000
```

---

(13)
Material: NbB5O10
Method: DFT, meta-GGA SCAN
State: single point on PBEsol structure

Values from the calculation:
Total magnetization ... 0.4 Bohr magnetons per cell
Density ... 2.35 g/cm3
DFT total energy ... -10.8012 eV/atom
Formation energy without anion corrections ... -2.514 eV/atom

```
NbB5O10
1.0
-5.281 3.441 4.206
-5.058 -1.374 -5.544
-3.456 -13.139 6.409
Nb B O
4 20 40
Direct
0.149 0.539 0.878
0.149 0.039 0.622
0.851 0.961 0.378
0.851 0.461 0.122
0.221 0.908 0.976
0.221 0.408 0.524
0.218 0.506 0.226
0.218 0.006 0.274
0.225 0.710 0.499
0.225 0.210 0.001
0.326 0.519 0.381
0.326 0.019 0.119
0.478 0.489 0.748
0.478 0.989 0.752
0.522 0.011 0.248
0.522 0.511 0.252
0.674 0.981 0.881
0.674 0.481 0.619
0.775 0.790 0.999
0.775 0.290 0.501
0.782 0.994 0.726
0.782 0.494 0.774
0.779 0.592 0.476
0.779 0.092 0.024
0.077 0.497 0.166
0.077 0.997 0.334
0.173 0.765 0.921
0.173 0.265 0.579
0.184 0.998 0.186
0.169 0.572 0.552
0.184 0.498 0.314
0.169 0.072 0.948
0.186 0.878 0.532
0.186 0.378 0.968
0.308 0.502 0.786
0.305 0.879 0.053
0.308 0.002 0.714
0.305 0.379 0.447
0.308 0.694 0.422
0.308 0.194 0.078
0.386 0.521 0.191
0.386 0.021 0.309
0.498 0.490 0.660
0.502 0.010 0.160
0.498 0.990 0.840
0.502 0.510 0.340
0.614 0.979 0.691
0.614 0.479 0.809
0.692 0.806 0.922
0.692 0.306 0.578
0.695 0.621 0.553
0.692 0.998 0.286
0.695 0.121 0.947
0.692 0.498 0.214
0.814 0.622 0.032
0.814 0.122 0.468
0.831 0.928 0.052
0.816 0.502 0.686
0.831 0.428 0.448
0.816 0.002 0.814
0.827 0.735 0.421
0.827 0.235 0.079
0.923 0.003 0.666
0.923 0.503 0.834
```

---

(14)
Material: NbBPO2
Method: DFT, meta-GGA SCAN
State: single point on PBEsol structure

Values from the calculation:
Total magnetization ... 0.0 Bohr magnetons per cell
Density ... 5.49 g/cm3
DFT total energy ... -12.9417 eV/atom
Formation energy without anion corrections ... -0.258 eV/atom

```
NbBPO2
1.0
-0.207 3.304 1.097
-1.533 -1.073 2.943
3.714 -0.365 1.801
P Nb B O
1 1 1 2
Direct
0.000 0.000 0.500
0.500 0.500 0.500
0.000 0.000 0.000
0.000 0.500 0.000
0.500 0.000 0.000
```

---

(15)
Material: NbSiB2O
Method: DFT, meta-GGA SCAN
State: single point on PBEsol structure

Values from the calculation:
Total magnetization ... 0.0 Bohr magnetons per cell
Density ... 4.80 g/cm3
DFT total energy ... -11.9808 eV/atom
Formation energy without anion corrections ... 0.866 eV/atom

```
NbSiB2O
1.0
-1.468 -2.715 1.955
-0.918 -1.725 -3.087
3.618 -1.947 0.012
Nb B Si O
1 2 1 1
Direct
0.000 0.000 0.500
0.000 0.500 0.000
0.500 0.000 0.000
0.500 0.500 0.500
0.000 0.000 0.000
```

---

(16)
Material: NbTlB2O6
Method: DFT, meta-GGA SCAN
State: single point on PBEsol structure

Values from the calculation:
Total magnetization ... 0.0 Bohr magnetons per cell
Density ... 5.00 g/cm3
DFT total energy ... -18.2068 eV/atom
Formation energy without anion corrections ... -2.433 eV/atom

```
NbTlB2O6
1.0
7.462 0.000 0.000
0.000 7.795 0.000
0.000 0.000 9.469
Nb Tl B O
4 4 8 24
Direct
0.765 0.161 0.133
0.265 0.339 0.633
0.235 0.839 0.633
0.735 0.661 0.133
0.728 0.984 0.750
0.228 0.516 0.250
0.272 0.016 0.250
0.772 0.484 0.750
0.575 0.789 0.421
0.903 0.735 0.424
0.097 0.265 0.924
0.597 0.235 0.424
0.925 0.289 0.421
0.425 0.211 0.921
0.075 0.711 0.921
0.403 0.765 0.924
0.564 0.144 0.996
0.310 0.569 0.633
0.905 0.651 0.299
0.405 0.849 0.799
0.742 0.786 0.488
0.936 0.644 0.996
0.946 0.233 0.285
0.258 0.214 0.988
0.558 0.726 0.990
0.554 0.733 0.285
0.942 0.226 0.990
0.595 0.151 0.299
0.054 0.767 0.785
0.064 0.356 0.496
0.058 0.774 0.490
0.810 0.931 0.133
0.190 0.069 0.633
0.690 0.431 0.133
0.446 0.267 0.785
0.242 0.714 0.988
0.442 0.274 0.490
0.758 0.286 0.488
0.436 0.856 0.496
0.095 0.349 0.799
```

---

(17)
Material: Nb2B2Os
Method: DFT, meta-GGA SCAN
State: single point on PBEsol structure

Values from the calculation:
Total magnetization ... 0.0 Bohr magnetons per cell
Density ... 11.12 g/cm3
DFT total energy ... -31.2320 eV/atom
Energy above the most stable polymorph in this dataset ... 0.00 kcal/mol of atoms
E_form ... -0.63 eV/atom

```
Nb2B2Os
1.0
-4.972 0.842 -3.055
2.755 -1.662 -4.941
-1.815 -6.480 1.168
Nb B Os
8 8 4
Direct
0.664 0.813 0.500
0.336 0.187 0.500
0.836 0.313 0.000
0.164 0.687 0.000
0.813 0.336 0.500
0.187 0.664 0.500
0.313 0.164 0.000
0.687 0.836 0.000
0.386 0.886 0.250
0.614 0.114 0.250
0.114 0.386 0.750
0.886 0.614 0.750
0.886 0.614 0.250
0.114 0.386 0.250
0.386 0.886 0.750
0.614 0.114 0.750
0.500 0.500 0.220
0.000 0.000 0.720
0.500 0.500 0.780
0.000 0.000 0.280
```

---

(18)
Material: Nb2B2Os
Method: DFT, meta-GGA SCAN
State: single point on PBEsol structure

Values from the calculation:
Total magnetization ... 0.0 Bohr magnetons per cell
Density ... 11.10 g/cm3
DFT total energy ... -31.2184 eV/atom
Energy above the most stable polymorph in this dataset ... 0.31 kcal/mol of atoms
E_form ... -0.62 eV/atom

```
Nb2B2Os
1.0
-3.279 -0.973 -0.655
-0.957 -0.632 5.731
-1.720 5.576 0.328
Nb B Os
4 4 2
Direct
0.500 0.176 0.676
0.500 0.676 0.824
0.500 0.824 0.324
0.500 0.324 0.176
0.000 0.385 0.885
0.000 0.885 0.615
0.000 0.615 0.115
0.000 0.115 0.385
0.000 0.000 0.000
0.000 0.500 0.500
```

---

(19)
Material: Nb2B2Os
Method: DFT, meta-GGA SCAN
State: single point on PBEsol structure

Values from the calculation:
Total magnetization ... 0.0 Bohr magnetons per cell
Density ... 10.37 g/cm3
DFT total energy ... -30.2105 eV/atom
Energy above the most stable polymorph in this dataset ... 23.56 kcal/mol of atoms
E_form ... 0.39 eV/atom

```
Nb2B2Os
1.0
-2.893 -2.224 -0.226
2.167 -2.699 -1.177
1.079 1.073 5.202
Nb B Os
2 2 1
Direct
0.250 0.750 0.500
0.750 0.250 0.500
0.417 0.417 0.833
0.583 0.583 0.167
0.000 0.000 0.000
```

---

(20)
Material: NbB3Pd
Method: DFT, meta-GGA SCAN
State: single point on PBEsol structure

Values from the calculation:
Total magnetization ... 0.0 Bohr magnetons per cell
Density ... 6.23 g/cm3
DFT total energy ... -16.2915 eV/atom
E_form ... 1.35 eV/atom

```
NbB3Pd
1.0
-3.947 0.176 0.142
0.040 -1.891 3.471
0.223 3.467 1.886
Nb B Pd
1 3 1
Direct
0.500 0.500 0.500
0.000 0.500 0.000
0.000 0.000 0.500
0.500 0.000 0.000
0.000 0.000 0.000
```